1.
Computed, not measured: a PBEsol-optimized structure of LiCoIr2 at the SCAN level of DFT.

Computed properties:
* offset from the most stable computed form: 0 kJ/mol of formula units
* N(E_F): 2.98 states/eV/f.u.
* M_tot: 1.923 μB per cell
* V: 12.5 Å³ per atom
* symmetry: No. 8

a = 2.635 Å, b = 4.374 Å, c = 4.579 Å
α = 98.99°, β = 106.73°, γ = 90.00°
Site moments in Bohr magnetons follow the coordinates.
Element x y z (fractional)
Ir: 0.004 0.988 0.007  0.10
Ir: 0.258 0.765 0.516  0.11
Co: 0.740 0.264 0.481  1.74
Li: 0.498 0.483 0.996  0.00

=====

2.
Computed, not measured: a PBEsol-optimized structure of Na2LiH6N3 at the SCAN level of DFT.

Computed properties:
* N(E_F): 0.00 states/eV/f.u.
* M_tot: 0.000 μB per cell
* V: 8.6 Å³ per atom
* E_tot: -261.48 eV for the cell shown
* symmetry: No. 84

a = 6.176 Å, b = 6.176 Å, c = 10.823 Å
α = 90.00°, β = 90.00°, γ = 90.00°
Element x y z (fractional)
H: 0.309 0.242 0.425
H: 0.952 0.655 0.142
Na: 0.500 0.000 0.859
N: 0.278 0.802 0.662
N: 0.339 0.724 0.000
Na: 0.500 0.500 0.750
H: 0.048 0.345 0.858
N: 0.802 0.722 0.838
N: 0.198 0.278 0.162
N: 0.198 0.278 0.838
H: 0.048 0.345 0.142
H: 0.655 0.048 0.642
H: 0.836 0.161 0.728
H: 0.839 0.836 0.772
H: 0.345 0.952 0.642
Na: 0.000 0.000 0.500
Li: 0.654 0.641 0.000
H: 0.758 0.309 0.075
Li: 0.641 0.346 0.500
H: 0.161 0.164 0.228
N: 0.661 0.276 0.000
N: 0.722 0.198 0.338
N: 0.724 0.661 0.500
Na: 0.500 0.500 0.250
Li: 0.346 0.359 0.000
H: 0.161 0.164 0.772
H: 0.839 0.836 0.228
Na: 0.500 0.000 0.141
H: 0.655 0.048 0.358
H: 0.952 0.655 0.858
H: 0.164 0.839 0.272
Li: 0.359 0.654 0.500
Na: 0.000 0.000 0.000
H: 0.758 0.309 0.925
H: 0.836 0.161 0.272
N: 0.802 0.722 0.162
N: 0.722 0.198 0.662
H: 0.242 0.691 0.075
N: 0.278 0.802 0.338
H: 0.345 0.952 0.358
H: 0.164 0.839 0.728
Na: 0.000 0.500 0.359
H: 0.691 0.758 0.575
H: 0.309 0.242 0.575
H: 0.691 0.758 0.425
Na: 0.000 0.500 0.641
N: 0.276 0.339 0.500
H: 0.242 0.691 0.925

=====

3.
Computed, not measured: a PBEsol-optimized structure of ScPt2Rh at the SCAN level of DFT.

Computed properties:
* N(E_F): 3.43 states/eV/f.u.
* M_tot: 1.259 μB per cell
* V: 15.5 Å³ per atom
* E_tot: -189.74 eV for the cell shown
* symmetry: No. 166

a = 2.833 Å, b = 2.833 Å, c = 9.071 Å
α = 81.02°, β = 81.02°, γ = 60.00°
Site moments in Bohr magnetons follow the coordinates.
Element x y z (fractional)
Rh: 0.000 0.000 0.000  1.02
Pt: 0.249 0.249 0.252  0.16
Sc: 0.500 0.500 0.500  0.01
Pt: 0.751 0.751 0.748  0.16

=====

4.
Computed, not measured: a PBEsol-optimized structure of NaMn3Ge at the SCAN level of DFT.

Computed properties:
* N(E_F): 5.02 states/eV/f.u.
* M_tot: 12.099 μB per cell
* V: 18.7 Å³ per atom
* E_tot: -71.27 eV for the cell shown
* symmetry: No. 221

a = 4.538 Å, b = 4.538 Å, c = 4.538 Å
α = 90.00°, β = 90.00°, γ = 90.00°
Site moments in Bohr magnetons follow the coordinates.
Element x y z (fractional)
Mn: 0.000 0.500 0.000  3.98
Mn: 0.500 0.000 0.000  3.98
Mn: 0.000 0.000 0.500  3.98
Ge: 0.500 0.500 0.500  -0.07
Na: 0.000 0.000 0.000  -0.03

=====

5.
Computed, not measured: a PBEsol-optimized structure of In2FeCl at the SCAN level of DFT.

Computed properties:
* offset from the most stable computed form: 81 kJ/mol of formula units
* N(E_F): 1.21 states/eV/f.u.
* M_tot: 2.972 μB per cell
* formation energy (no corrections): 0.282 eV per atom
* V: 21.5 Å³ per atom
* symmetry: No. 225

a = 4.952 Å, b = 4.952 Å, c = 4.952 Å
α = 60.00°, β = 60.00°, γ = 60.00°
Site moments in Bohr magnetons follow the coordinates.
Element x y z (fractional)
Cl: 0.000 0.000 0.000  0.02
Fe: 0.500 0.500 0.500  3.01
In: 0.750 0.750 0.750  -0.03
In: 0.250 0.250 0.250  -0.03

=====

6.
Computed, not measured: a PBEsol-optimized structure of SiMo2 at the SCAN level of DFT.

Computed properties:
* offset from the most stable computed form: 0 kJ/mol of formula units
* N(E_F): 2.21 states/eV/f.u.
* M_tot: 0.000 μB per cell
* formation energy (no corrections): -0.277 eV per atom
* V: 14.2 Å³ per atom
* symmetry: No. 140

a = 4.838 Å, b = 4.838 Å, c = 4.838 Å
α = 104.82°, β = 104.82°, γ = 119.23°
Element x y z (fractional)
Si: 0.750 0.750 0.000
Mo: 0.657 0.157 0.814
Mo: 0.157 0.343 0.500
Si: 0.250 0.250 0.000
Mo: 0.843 0.657 0.500
Mo: 0.343 0.843 0.186